# 1
An optimized crystal structure of HfTe2H2. Source: Alexandria, functional PBE.

a = 6.3477 Å, b = 6.3477 Å, c = 4.0284 Å
α = 90.00°, β = 90.00°, γ = 90.00°
Last column: nearest neighbours and their distance in Å.
Fractional coordinates of all 10 atoms:
H (0.8289, 0.6711, 0.0000)  2 Hf 2.35, 2 Te 2.54
H (0.6711, 0.1711, 0.0000)  2 Hf 2.35, 2 Te 2.54
H (0.3289, 0.8289, 0.0000)  2 Hf 2.35, 2 Te 2.54
H (0.1711, 0.3289, 0.0000)  2 Hf 2.35, 2 Te 2.54
Hf (0.0000, 0.0000, 0.0000)  4 H 2.35
Hf (0.5000, 0.5000, 0.0000)  4 H 2.35
Te (0.1566, 0.6566, 0.5000)  2 H 2.54, 1 Te 2.81
Te (0.6566, 0.8434, 0.5000)  2 H 2.54, 1 Te 2.81
Te (0.3434, 0.1566, 0.5000)  2 H 2.54, 1 Te 2.81
Te (0.8434, 0.3434, 0.5000)  2 H 2.54, 1 Te 2.81

Values from the calculation:
Electronic total energy ... -44.0 eV/cell
ΔE to the lowest computed polymorph ... 0.469 eV/atom

# 2
An optimized crystal structure of Hf2TeH. Source: Alexandria, functional PBE.

a = 3.6806 Å, b = 3.7717 Å, c = 10.9658 Å
α = 90.00°, β = 90.00°, γ = 90.00°
Last column: nearest neighbours and their distance in Å.
Fractional coordinates of all 8 atoms:
H (0.2010, 0.7831, 0.1893)  4 Hf 2.00-2.04
H (0.7010, 0.2832, 0.0267)  4 Hf 2.00-2.04
Te (0.7010, 0.5500, 0.4664)  5 Hf 2.94-3.07
Te (0.2010, 0.0500, 0.7496)  5 Hf 2.94-3.07
Hf (0.2010, 0.0480, 0.0296)  3 H 2.02-2.04
Hf (0.7010, 0.5523, 0.8695)  1 H 2.00
Hf (0.7010, 0.5479, 0.1864)  3 H 2.02-2.04
Hf (0.2010, 0.0522, 0.3464)  1 H 2.00

Values from the calculation:
Electronic total energy ... -57.1 eV/cell
ΔE to the lowest computed polymorph ... 0.000 eV/atom

# 3
An optimized crystal structure of HfTeH2. Source: Alexandria, functional PBE.

a = 3.6434 Å, b = 3.6401 Å, c = 8.9549 Å
α = 102.19°, β = 90.00°, γ = 90.00°
Last column: nearest neighbours and their distance in Å.
Fractional coordinates of all 8 atoms:
Te (0.7500, 0.4052, 0.7975)  4 H 2.61
Te (0.2500, 0.5948, 0.2025)  4 H 2.61
H (0.2500, 0.9311, 0.8465)  1 Hf 1.84
H (0.7500, 0.7506, 0.5001)  4 Hf 2.17-2.18
H (0.7500, 0.0689, 0.1535)  1 Hf 1.84
H (0.2500, 0.2494, 0.4999)  4 Hf 2.17-2.18
Hf (0.2500, 0.8214, 0.6364)  1 H 1.84
Hf (0.7500, 0.1786, 0.3636)  1 H 1.84

Values from the calculation:
Electronic total energy ... -42.7 eV/cell
ΔE to the lowest computed polymorph ... 0.148 eV/atom

# 4
An optimized crystal structure of HfTeH2. Source: Alexandria, functional PBE.

a = 4.2422 Å, b = 4.2422 Å, c = 4.2422 Å
α = 60.00°, β = 60.00°, γ = 60.00°
Last column: nearest neighbours and their distance in Å.
Fractional coordinates of all 4 atoms:
H (0.2500, 0.2500, 0.2500)  4 Hf 2.60, 4 Te 2.60
H (0.7500, 0.7500, 0.7500)  4 Hf 2.60, 4 Te 2.60
Hf (0.5000, 0.5000, 0.5000)  8 H 2.60
Te (0.0000, 0.0000, 0.0000)  8 H 2.60

Values from the calculation:
Electronic total energy ... -17.9 eV/cell
ΔE to the lowest computed polymorph ... 1.007 eV/atom

# 5
An optimized crystal structure of Hf2TeH. Source: Alexandria, functional PBE.

a = 6.7428 Å, b = 6.7428 Å, c = 5.6704 Å
α = 53.52°, β = 53.52°, γ = 90.00°
Last column: nearest neighbours and their distance in Å.
Fractional coordinates of all 8 atoms:
Hf (0.2309, 0.6250, 0.2500)  2 H 2.09
Hf (0.8750, 0.7691, 0.7500)  2 H 2.09
Hf (0.5191, 0.1250, 0.2500)  2 H 2.09
Hf (0.3750, 0.4809, 0.7500)  2 H 2.09
Te (0.7500, 0.2500, 0.5000)  8 Hf 3.01-3.03, 2 H 3.07
Te (0.0000, 0.0000, 0.0000)  8 Hf 3.01-3.03, 2 H 3.07
H (0.2500, 0.7500, 0.5000)  4 Hf 2.09
H (0.5000, 0.5000, 0.0000)  4 Hf 2.09

Values from the calculation:
Electronic total energy ... -55.5 eV/cell
ΔE to the lowest computed polymorph ... 0.197 eV/atom

# 6
An optimized crystal structure of Hf2TeH2. Source: Alexandria, functional PBE.

a = 3.4126 Å, b = 3.4126 Å, c = 6.5360 Å
α = 74.87°, β = 74.87°, γ = 90.00°
Last column: nearest neighbours and their distance in Å.
Fractional coordinates of all 5 atoms:
Te (0.0000, 0.0000, 0.0000)  8 Hf 2.98
H (0.2500, 0.7500, 0.5000)  4 Hf 2.13
H (0.7500, 0.2500, 0.5000)  4 Hf 2.13
Hf (0.6446, 0.6446, 0.7109)  4 H 2.13
Hf (0.3554, 0.3554, 0.2891)  4 H 2.13

Values from the calculation:
Electronic total energy ... -31.6 eV/cell
ΔE to the lowest computed polymorph ... 0.000 eV/atom

# 7
An optimized crystal structure of Hf3Te4H2. Source: Alexandria, functional PBE.

a = 3.6807 Å, b = 3.6807 Å, c = 19.0994 Å
α = 90.00°, β = 90.00°, γ = 120.00°
Last column: nearest neighbours and their distance in Å.
Fractional coordinates of all 9 atoms:
H (0.6667, 0.3333, 0.0051)  1 H 1.85
H (0.6667, 0.3333, 0.9083)  1 H 1.85
Hf (0.6667, 0.3333, 0.6956)  6 Te 2.83-2.88
Hf (0.0000, 0.0000, 0.3082)  6 Te 2.87
Hf (0.0000, 0.0000, 0.9483)  6 H 2.26-2.39
Te (0.6667, 0.3333, 0.2074)  3 Hf 2.87
Te (0.0000, 0.0000, 0.7971)  4 Hf 2.88-2.89, 3 H 3.01
Te (0.6667, 0.3333, 0.4092)  3 Hf 2.87
Te (0.0000, 0.0000, 0.5978)  3 Hf 2.83

Values from the calculation:
Electronic total energy ... -52.0 eV/cell

# 8
An optimized crystal structure of HfTe2H2. Source: Alexandria, functional PBE.

a = 5.0768 Å, b = 5.0768 Å, c = 5.0700 Å
α = 59.96°, β = 59.96°, γ = 90.00°
Last column: nearest neighbours and their distance in Å.
Fractional coordinates of all 5 atoms:
Te (0.2500, 0.7500, 0.5000)  4 H 2.90, 4 Hf 3.11
Te (0.7500, 0.2500, 0.5000)  4 H 2.90, 4 Hf 3.11
Hf (0.0000, 0.0000, 0.0000)  8 Te 3.11, 2 H 3.20
H (0.4469, 0.4469, 0.1061)  1 H 0.76
H (0.5531, 0.5531, 0.8939)  1 H 0.76

Values from the calculation:
Electronic total energy ... -23.8 eV/cell
ΔE to the lowest computed polymorph ... 0.111 eV/atom

# 9
An optimized crystal structure of HfTe2H2. Source: Alexandria, functional PBE.

a = 3.5555 Å, b = 6.1330 Å, c = 12.2756 Å
α = 124.28°, β = 90.00°, γ = 106.85°
Last column: nearest neighbours and their distance in Å.
Fractional coordinates of all 10 atoms:
H (0.8157, 0.6315, 0.0753)  3 Hf 2.05-2.11
H (0.8904, 0.7809, 0.6135)  2 Te 1.93
H (0.1843, 0.3685, 0.9247)  3 Hf 2.05-2.11
H (0.1096, 0.2191, 0.3865)  2 Te 1.93
Te (0.8526, 0.7051, 0.8352)  4 Hf 2.97-3.01, 4 H 3.00-3.29
Te (0.4694, 0.9388, 0.6533)  2 H 1.93
Te (0.5306, 0.0612, 0.3467)  2 H 1.93
Te (0.1474, 0.2949, 0.1648)  4 Hf 2.97-3.01, 4 H 3.00-3.29
Hf (0.3998, 0.7995, 0.0560)  3 H 2.05-2.11
Hf (0.6002, 0.2005, 0.9440)  3 H 2.05-2.11

Values from the calculation:
Electronic total energy ... -48.7 eV/cell
ΔE to the lowest computed polymorph ... 0.000 eV/atom

# 10
An optimized crystal structure of Hf3Te2H2. Source: Alexandria, functional PBE.

a = 3.6483 Å, b = 3.8383 Å, c = 9.4952 Å
α = 101.68°, β = 101.09°, γ = 90.02°
Last column: nearest neighbours and their distance in Å.
Fractional coordinates of all 7 atoms:
Hf (0.5968, 0.5973, 0.1940)  2 H 2.02
Hf (0.4032, 0.4027, 0.8060)  2 H 2.02
Hf (0.0000, 0.0000, 0.0000)  4 H 2.06
H (0.4998, 0.7517, 0.0000)  2 H 1.91-1.93, 4 Hf 2.02-2.06
H (0.5002, 0.2483, 0.0000)  2 H 1.91-1.93, 4 Hf 2.02-2.06
Te (0.8314, 0.8308, 0.6625)  5 Hf 2.95-3.08
Te (0.1686, 0.1692, 0.3375)  5 Hf 2.95-3.08

Values from the calculation:
Electronic total energy ... -46.9 eV/cell

# 11
An optimized crystal structure of Hf2TeH. Source: Alexandria, functional PBE.

a = 3.4657 Å, b = 3.4657 Å, c = 8.1668 Å
α = 77.75°, β = 77.75°, γ = 60.00°
Last column: nearest neighbours and their distance in Å.
Fractional coordinates of all 4 atoms:
Hf (0.9245, 0.9245, 0.2264)  1 H 1.79
Hf (0.0755, 0.0755, 0.7736)  1 H 1.79
Te (0.5000, 0.5000, 0.5000)  6 Hf 2.95
H (0.0000, 0.0000, 0.0000)  2 Hf 1.79

Values from the calculation:
Electronic total energy ... -26.1 eV/cell
ΔE to the lowest computed polymorph ... 0.622 eV/atom

# 12
An optimized crystal structure of HfTe2H. Source: Alexandria, functional PBE.

a = 3.8018 Å, b = 3.8018 Å, c = 8.3308 Å
α = 76.76°, β = 76.76°, γ = 52.16°
Last column: nearest neighbours and their distance in Å.
Fractional coordinates of all 4 atoms:
H (0.4594, 0.4594, 0.6249)  2 Hf 1.98
Hf (0.8039, 0.8039, 0.6251)  2 H 1.98
Te (0.0373, 0.0373, 0.8856)  3 H 2.90-3.14, 3 Hf 2.97-3.00
Te (0.1995, 0.1995, 0.3645)  3 H 2.89-3.13, 3 Hf 2.97-3.00

Values from the calculation:
Electronic total energy ... -22.0 eV/cell
ΔE to the lowest computed polymorph ... 0.000 eV/atom

The calculation returns the following total moment values, one per record and in order: 0.0 0.0 0.0 0.0 0.0 0.0 0.0 0.0 0.0 0.0 0.0 0.0 μB per formula unit.